! PuI2Cl | Alexandria | PBE | optimized geometry; values from VASP
&SYSTEM
  ibrav = 0, nat = 4, ntyp = 3
/
ATOMIC_SPECIES
Pu 244.00 Pu.upf
I 126.90 I.upf
Cl 35.45 Cl.upf
ATOMIC_POSITIONS crystal
Pu 0.000 0.000 0.000
I 0.372 0.993 0.744
I 0.628 0.007 0.256
Cl 0.000 0.500 0.000
CELL_PARAMETERS angstrom
4.484 0.000 0.000
0.000 5.397 0.000
-2.234 -0.145 8.355
! Excess energy over the best structure of this formula in the dataset: 0.000 eV per atom
! SG: P-1
! Raw formation energy: -1.3445 eV per atom